Record 1
Computed, not measured: an optimized crystal structure of CaAcPr2Se4 at the PBE-GGA level of DFT.

a = 4.281 Å, b = 7.495 Å, c = 7.461 Å
α = 70.94°, β = 90.00°, γ = 90.00°
Sites, in units of the cell vectors:
Se1 0.000 0.253 0.240
Se2 0.500 0.753 0.238
Se3 0.000 0.747 0.760
Se4 0.500 0.247 0.762
Pr1 0.000 0.000 0.000
Pr2 0.500 0.000 0.500
Ac1 0.000 0.500 0.500
Ca1 0.500 0.500 0.000

Calculated values
Formation energy (no corrections), eV/atom: -1.8704
Total magnetic moment, μB/f.u.: 0.00



Record 2
Computed, not measured: an optimized crystal structure of CaSc3Ga at the PBE-GGA level of DFT.

a = 5.254 Å, b = 5.254 Å, c = 5.254 Å
α = 90.00°, β = 90.00°, γ = 90.00°
Sites, in units of the cell vectors:
Ca1 0.500 0.500 0.500
Ga1 0.000 0.000 0.000
Sc1 0.000 0.500 0.000
Sc2 0.500 0.000 0.000
Sc3 0.000 0.000 0.500

Calculated values
Polymorph energy (0 for the lowest one), eV per atom: 0.000
Total magnetic moment, μB/f.u.: 0.00



Record 3
Computed, not measured: an optimized crystal structure of CsLa3Sc at the PBE-GGA level of DFT.

a = 6.094 Å, b = 6.094 Å, c = 6.094 Å
α = 90.00°, β = 90.00°, γ = 90.00°
Sites, in units of the cell vectors:
La1 0.500 0.000 0.000
La2 0.000 0.500 0.000
La3 0.000 0.000 0.500
Cs1 0.500 0.500 0.500
Sc1 0.000 0.000 0.000

Calculated values
Raw total energy, eV per cell: -19.04
Total magnetic moment, μB/f.u.: 0.02



Record 4
Computed, not measured: an optimized crystal structure of TiMnS2 at the PBE-GGA level of DFT.

a = 5.115 Å, b = 5.115 Å, c = 6.497 Å
α = 66.82°, β = 66.82°, γ = 90.00°
Sites, in units of the cell vectors:
Mn1 0.750 0.250 0.500
Mn2 0.000 0.000 0.000
Ti1 0.500 0.500 0.000
Ti2 0.250 0.750 0.500
S1 0.093 0.625 0.250
S2 0.657 0.125 0.250
S3 0.375 0.343 0.750
S4 0.875 0.907 0.750

Calculated values
Formation energy (no corrections), eV/atom: -0.6088
Polymorph energy (0 for the lowest one), eV per atom: 0.319
Total magnetic moment, μB/f.u.: 0.00